A relaxed structure of Dy2ScGa. Source: Alexandria, functional GGA-PBE.

Cell lengths 7.3269, 7.3269, 7.3269 Å; angles 90.00, 90.00, 90.00 degrees
Space group F-43m (No. 216)
Inequivalent atoms, fractional coordinates:
1 Dy 0.0000 0.0000 0.0000 x4
2 Dy 0.2500 0.2500 0.2500 x4
3 Sc 0.2500 0.2500 0.7500 x4
4 Ga 0.0000 0.0000 0.5000 x4

Formation energy: -0.07 eV per atom